No. 1
Entry from the Alexandria database: LiMo2AsO after structural relaxation (PBE+U).

- symmetry = P4/mmm, No. 123
- total magnetic moment (μB/f.u.) = 7.96
- V (Å³/f.u.) = 97
- E_tot (eV/cell) = -19.66

Geometry as CIF:
```
data_LiMo2AsO
_space_group_name_H-M_alt 'P 1'
_space_group_IT_number 1
_cell_length_a 4.896
_cell_length_b 4.049
_cell_length_c 4.896
_cell_angle_alpha 90.00
_cell_angle_beta 90.00
_cell_angle_gamma 90.00
loop_
_space_group_symop_operation_xyz
'x,y,z'
loop_
_atom_site_label
_atom_site_type_symbol
_atom_site_fract_x
_atom_site_fract_y
_atom_site_fract_z
Mo1 Mo 0.000 0.000 0.500
O1 O 0.500 0.500 0.500
Mo2 Mo 0.500 0.000 0.000
Li1 Li 0.000 0.000 0.000
As1 As 0.000 0.500 0.000
```

=====

No. 2
Entry from the Alexandria database: LiMoAsO4 after structural relaxation (PBE+U).

- symmetry = Cmcm, No. 63
- total magnetic moment (μB/f.u.) = 2.00
- V (Å³/f.u.) = 93
- E_tot (eV/cell) = -87.88

Geometry as CIF:
```
data_LiMoAsO4
_space_group_name_H-M_alt 'P 1'
_space_group_IT_number 1
_cell_length_a 5.506
_cell_length_b 5.506
_cell_length_c 6.273
_cell_angle_alpha 90.00
_cell_angle_beta 90.00
_cell_angle_gamma 101.25
loop_
_space_group_symop_operation_xyz
'x,y,z'
loop_
_atom_site_label
_atom_site_type_symbol
_atom_site_fract_x
_atom_site_fract_y
_atom_site_fract_z
As1 As 0.880 0.120 0.750
Li1 Li 0.808 0.192 0.250
O1 O 0.750 0.250 0.965
As2 As 0.120 0.880 0.250
Li2 Li 0.192 0.808 0.750
O2 O 0.345 0.277 0.250
Mo1 Mo 0.500 0.500 0.000
O3 O 0.750 0.250 0.535
O4 O 0.250 0.750 0.465
Mo2 Mo 0.500 0.500 0.500
O5 O 0.277 0.345 0.750
O6 O 0.723 0.655 0.250
O7 O 0.250 0.750 0.035
O8 O 0.655 0.723 0.750
```

=====

No. 3
Entry from the Alexandria database: LiMoAs2O8 after structural relaxation (PBE+U).

- symmetry = I-4m2, No. 119
- total magnetic moment (μB/f.u.) = 1.00
- V (Å³/f.u.) = 137
- E_tot (eV/cell) = -73.56

Geometry as CIF:
```
data_LiMoAs2O8
_space_group_name_H-M_alt 'P 1'
_space_group_IT_number 1
_cell_length_a 5.642
_cell_length_b 5.642
_cell_length_c 5.642
_cell_angle_alpha 106.73
_cell_angle_beta 106.73
_cell_angle_gamma 115.10
loop_
_space_group_symop_operation_xyz
'x,y,z'
loop_
_atom_site_label
_atom_site_type_symbol
_atom_site_fract_x
_atom_site_fract_y
_atom_site_fract_z
Mo1 Mo 0.250 0.750 0.500
O1 O 0.952 0.634 0.682
O2 O 0.318 0.512 0.194
O3 O 0.952 0.270 0.318
As1 As 0.750 0.250 0.500
O4 O 0.366 0.048 0.318
O5 O 0.730 0.048 0.682
Li1 Li 0.000 0.000 0.000
O6 O 0.488 0.682 0.806
O7 O 0.318 0.124 0.806
As2 As 0.500 0.500 0.000
O8 O 0.876 0.682 0.194
```

=====

No. 4
Entry from the Alexandria database: Li2MoAs2O7 after structural relaxation (PBE+U).

- symmetry = R32, No. 155
- total magnetic moment (μB/f.u.) = 2.06
- V (Å³/f.u.) = 185
- E_tot (eV/cell) = -71.87

Geometry as CIF:
```
data_Li2MoAs2O7
_space_group_name_H-M_alt 'P 1'
_space_group_IT_number 1
_cell_length_a 5.225
_cell_length_b 5.225
_cell_length_c 8.379
_cell_angle_alpha 71.83
_cell_angle_beta 71.83
_cell_angle_gamma 60.00
loop_
_space_group_symop_operation_xyz
'x,y,z'
loop_
_atom_site_label
_atom_site_type_symbol
_atom_site_fract_x
_atom_site_fract_y
_atom_site_fract_z
O1 O 0.139 0.781 0.676
O2 O 0.404 0.139 0.676
O3 O 0.861 0.596 0.324
As1 As 0.080 0.080 0.761
Mo1 Mo 0.500 0.500 0.500
Li1 Li 0.232 0.232 0.305
O4 O 0.781 0.404 0.676
Li2 Li 0.768 0.768 0.695
O5 O 0.596 0.219 0.324
O6 O 0.000 0.000 0.000
O7 O 0.219 0.861 0.324
As2 As 0.920 0.920 0.239
```

=====

No. 5
Entry from the Alexandria database: LiMo2AsO9 after structural relaxation (PBE+U).

- symmetry = Pmmn, No. 59
- total magnetic moment (μB/f.u.) = 0.00
- V (Å³/f.u.) = 195
- E_tot (eV/cell) = -170.62

Geometry as CIF:
```
data_LiMo2AsO9
_space_group_name_H-M_alt 'P 1'
_space_group_IT_number 1
_cell_length_a 5.532
_cell_length_b 7.735
_cell_length_c 9.109
_cell_angle_alpha 90.00
_cell_angle_beta 90.00
_cell_angle_gamma 90.00
loop_
_space_group_symop_operation_xyz
'x,y,z'
loop_
_atom_site_label
_atom_site_type_symbol
_atom_site_fract_x
_atom_site_fract_y
_atom_site_fract_z
O1 O 0.245 0.183 0.667
O2 O 0.500 0.000 0.381
As1 As 0.500 0.500 0.958
Mo1 Mo 0.500 0.791 0.259
O3 O 0.755 0.817 0.667
O4 O 0.742 0.000 0.145
O5 O 0.755 0.183 0.667
As2 As 0.000 0.000 0.042
Li1 Li 0.000 0.500 0.393
O6 O 0.745 0.683 0.333
O7 O 0.758 0.500 0.855
Mo2 Mo 0.000 0.709 0.741
O8 O 0.000 0.189 0.941
O9 O 0.745 0.317 0.333
O10 O 0.258 0.000 0.145
O11 O 0.500 0.311 0.059
O12 O 0.245 0.817 0.667
O13 O 0.255 0.683 0.333
O14 O 0.000 0.500 0.619
Mo3 Mo 0.000 0.291 0.741
O15 O 0.255 0.317 0.333
O16 O 0.500 0.689 0.059
O17 O 0.000 0.811 0.941
Li2 Li 0.500 0.000 0.607
Mo4 Mo 0.500 0.209 0.259
O18 O 0.242 0.500 0.855
```

=====

- Which formula does entry 1 have?
  LiMo2AsO

=====

- The lowest total magnetic moment belongs to which entry?
  LiMo2AsO9

=====

- What is the V in the second record?
  93 Å³/f.u.